No. 1
VASP calculation (PBE) on a relaxed LaTe2Se crystal.

uncorrected formation energy	-0.80	eV per atom
final energy	-4.47	eV/atom
SG	R3m (160)

a b c (Å): 6.5293 6.5293 6.5293
angles (deg): 45.80 45.80 45.80
Closest atoms and distances in Å follow each position.
Fractional positions:
1 La 0.0000 0.0000 0.0000  3 Se 2.96
2 Te 0.1917 0.1917 0.1917  3 Te 3.05, 1 La 3.35
3 Te 0.4769 0.4769 0.4769  3 Te 3.05
4 Se 0.6872 0.6872 0.6872  3 La 2.96

No. 2
VASP calculation (PBE) on a relaxed La5Te4Se crystal.

uncorrected formation energy	-1.66	eV per atom
final energy	-5.73	eV/atom
SG	I4/mmm (139)

a b c (Å): 16.3748 16.3748 16.3748
angles (deg): 164.11 164.11 22.55
Closest atoms and distances in Å follow each position.
Fractional positions:
1 La 0.0000 0.0000 0.0000  4 Se 3.20, 2 Te 3.24
2 La 0.2029 0.2029 0.0000  6 Te 3.21-3.28
3 La 0.4064 0.4064 0.0000  1 Se 3.01, 5 Te 3.21-3.29
4 La 0.5936 0.5936 0.0000  1 Se 3.01, 5 Te 3.21-3.29
5 La 0.7971 0.7971 0.0000  6 Te 3.21-3.28
6 Te 0.1007 0.1007 0.0000  6 La 3.21-3.28
7 Te 0.3038 0.3038 0.0000  6 La 3.21-3.29
8 Te 0.6962 0.6962 0.0000  6 La 3.21-3.29
9 Te 0.8993 0.8993 0.0000  6 La 3.21-3.28
10 Se 0.5000 0.5000 0.0000  6 La 3.01-3.20

No. 3
VASP calculation (PBE) on a relaxed LaTe2Se crystal.

uncorrected formation energy	-0.65	eV per atom
final energy	-4.32	eV/atom
SG	R-3m (166)

a b c (Å): 9.2936 9.2936 9.2936
angles (deg): 29.63 29.63 29.63
Closest atoms and distances in Å follow each position.
Fractional positions:
1 La 0.0000 0.0000 0.0000  6 Te 3.23
2 Te 0.3974 0.3974 0.3974  1 Se 2.73
3 Te 0.6026 0.6026 0.6026  1 Se 2.73
4 Se 0.5000 0.5000 0.5000  2 Te 2.73

No. 4
VASP calculation (PBE) on a relaxed LaTe2Se crystal.

uncorrected formation energy	-1.05	eV per atom
final energy	-4.73	eV/atom
SG	I4/mmm (139)

a b c (Å): 6.8187 6.8187 6.8187
angles (deg): 142.75 142.75 53.70
Closest atoms and distances in Å follow each position.
Fractional positions:
1 La 0.0000 0.0000 0.0000  4 Se 3.08
2 Te 0.2500 0.7500 0.5000  4 Te 3.08
3 Te 0.7500 0.2500 0.5000  4 Te 3.08
4 Se 0.5000 0.5000 0.0000  4 La 3.08

No. 5
VASP calculation (PBE) on a relaxed La2TeSe crystal.

uncorrected formation energy	-1.81	eV per atom
final energy	-5.93	eV/atom
SG	R-3m (166)
relative energy among the computed polymorphs	0.0	meV/atom

a b c (Å): 7.8005 7.8005 7.8005
angles (deg): 32.88 32.88 32.88
Closest atoms and distances in Å follow each position.
Fractional positions:
1 La 0.2410 0.2410 0.2410  3 Se 3.03, 3 Te 3.27
2 La 0.7590 0.7590 0.7590  3 Se 3.03, 3 Te 3.27
3 Te 0.0000 0.0000 0.0000  6 La 3.27
4 Se 0.5000 0.5000 0.5000  6 La 3.03

No. 6
VASP calculation (PBE) on a relaxed La8TeSe6 crystal.

uncorrected formation energy	-1.57	eV per atom
final energy	-5.80	eV/atom
SG	P-3 (147)

a b c (Å): 11.0062 11.0062 4.4091
angles (deg): 90.00 90.00 120.00
Closest atoms and distances in Å follow each position.
Fractional positions:
1 La 0.0359 0.3301 0.2579  4 Se 2.94-3.12
2 La 0.2942 0.9641 0.2579  4 Se 2.94-3.12
3 La 0.3301 0.2942 0.7421  4 Se 2.94-3.12
4 La 0.3333 0.6667 0.7471  6 Se 3.06-3.07
5 La 0.6667 0.3333 0.2529  6 Se 3.06-3.07
6 La 0.6699 0.7058 0.2579  4 Se 2.94-3.12
7 La 0.7058 0.0359 0.7421  4 Se 2.94-3.12
8 La 0.9641 0.6699 0.7421  4 Se 2.94-3.12
9 Te 0.0000 0.0000 0.5000  6 La 3.61
10 Se 0.1315 0.6486 0.2465  6 La 2.94-3.12
11 Se 0.3514 0.4829 0.2465  6 La 2.94-3.12
12 Se 0.4829 0.1315 0.7535  6 La 2.94-3.12
13 Se 0.5171 0.8685 0.2465  6 La 2.94-3.12
14 Se 0.6486 0.5171 0.7535  6 La 2.94-3.12
15 Se 0.8685 0.3514 0.7535  6 La 2.94-3.12

No. 7
VASP calculation (PBE) on a relaxed LaTe2Se2 crystal.

uncorrected formation energy	-0.67	eV per atom
final energy	-4.30	eV/atom
SG	P4/mbm (127)

a b c (Å): 7.8686 7.8686 4.5519
angles (deg): 90.00 90.00 90.00
Closest atoms and distances in Å follow each position.
Fractional positions:
1 La 0.0000 0.0000 0.0000  4 Se 3.00
2 La 0.5000 0.5000 0.0000  4 Se 3.00
3 Te 0.1809 0.3191 0.5000  2 Se 2.97
4 Te 0.3191 0.8191 0.5000  2 Se 2.97
5 Te 0.6809 0.1809 0.5000  2 Se 2.97
6 Te 0.8191 0.6809 0.5000  2 Se 2.97
7 Se 0.1479 0.6479 0.0000  2 Te 2.97, 2 La 3.00, 1 Se 3.29
8 Se 0.3521 0.1479 0.0000  2 Te 2.97, 2 La 3.00, 1 Se 3.29
9 Se 0.6479 0.8521 0.0000  2 Te 2.97, 2 La 3.00, 1 Se 3.29
10 Se 0.8521 0.3521 0.0000  2 Te 2.97, 2 La 3.00, 1 Se 3.29

No. 8
VASP calculation (PBE) on a relaxed La2TeSe crystal.

uncorrected formation energy	-1.59	eV per atom
final energy	-5.71	eV/atom
SG	P2/m (10)
relative energy among the computed polymorphs	213.2	meV/atom

a b c (Å): 3.8241 3.8280 7.6659
angles (deg): 90.00 90.06 90.00
Closest atoms and distances in Å follow each position.
Fractional positions:
1 La 0.9998 0.0000 0.2412  4 Se 3.28, 4 Te 3.35-3.36
2 La 0.0002 0.0000 0.7588  4 Se 3.28, 4 Te 3.35-3.36
3 Te 0.5000 0.5000 0.5000  8 La 3.35-3.36
4 Se 0.5000 0.5000 0.0000  8 La 3.28

No. 9
VASP calculation (PBE) on a relaxed LaTe2Se crystal.

uncorrected formation energy	-0.98	eV per atom
final energy	-4.65	eV/atom
SG	I-42d (122)

a b c (Å): 13.5821 13.5821 13.5821
angles (deg): 161.59 161.59 26.15
Closest atoms and distances in Å follow each position.
Fractional positions:
1 La 0.0000 0.0000 0.0000  4 Se 3.07
2 La 0.7500 0.2500 0.5000  4 Se 3.07
3 Te 0.1174 0.6250 0.9924  4 Te 3.03-3.12
4 Te 0.3750 0.3674 0.4924  4 Te 3.03-3.12
5 Te 0.6326 0.1250 0.0076  4 Te 3.03-3.12
6 Te 0.8750 0.8826 0.5076  4 Te 3.03-3.12
7 Se 0.2500 0.7500 0.5000  4 La 3.07
8 Se 0.5000 0.5000 0.0000  4 La 3.07

No. 10
VASP calculation (PBE) on a relaxed La2TeSe crystal.

uncorrected formation energy	-1.58	eV per atom
final energy	-5.70	eV/atom
SG	Fm-3m (225)
relative energy among the computed polymorphs	227.3	meV/atom

a b c (Å): 5.4200 5.4200 5.4200
angles (deg): 60.00 60.00 60.00
Closest atoms and distances in Å follow each position.
Fractional positions:
1 La 0.2500 0.2500 0.2500  4 Se 3.32, 4 Te 3.32
2 La 0.7500 0.7500 0.7500  4 Se 3.32, 4 Te 3.32
3 Te 0.0000 0.0000 0.0000  8 La 3.32
4 Se 0.5000 0.5000 0.5000  8 La 3.32

No. 11
VASP calculation (PBE) on a relaxed LaTeSe3 crystal.

uncorrected formation energy	-0.07	eV per atom
final energy	-3.78	eV/atom
SG	Pm-3m (221)
relative energy among the computed polymorphs	430.1	meV/atom

a b c (Å): 5.7419 5.7419 5.7419
angles (deg): 90.00 90.00 90.00
Closest atoms and distances in Å follow each position.
Fractional positions:
1 La 0.0000 0.0000 0.0000  6 Se 2.87
2 Te 0.5000 0.5000 0.5000  12 Se 4.06
3 Se 0.0000 0.0000 0.5000  2 La 2.87
4 Se 0.0000 0.5000 0.0000  2 La 2.87
5 Se 0.5000 0.0000 0.0000  2 La 2.87

No. 12
VASP calculation (PBE) on a relaxed La6TeSe5 crystal.

uncorrected formation energy	-1.93	eV per atom
final energy	-6.10	eV/atom
SG	C2/m (12)

a b c (Å): 7.5530 7.5530 7.5565
angles (deg): 99.64 99.64 120.06
Closest atoms and distances in Å follow each position.
Fractional positions:
1 La 0.0685 0.4134 0.7392  5 Se 3.02-3.10, 1 Te 3.20
2 La 0.2406 0.2406 0.2570  5 Se 2.98-3.08, 1 Te 3.19
3 La 0.4134 0.0685 0.7392  5 Se 3.02-3.10, 1 Te 3.20
4 La 0.5866 0.9315 0.2608  5 Se 3.02-3.10, 1 Te 3.20
5 La 0.7594 0.7594 0.7430  5 Se 2.98-3.08, 1 Te 3.19
6 La 0.9315 0.5866 0.2608  5 Se 3.02-3.10, 1 Te 3.20
7 Te 0.5000 0.5000 0.0000  6 La 3.19-3.20
8 Se 0.0000 0.0000 0.5000  6 La 2.98-3.08
9 Se 0.1674 0.8326 0.0000  6 La 3.08-3.10
10 Se 0.3386 0.6614 0.5000  6 La 3.02-3.08
11 Se 0.6614 0.3386 0.5000  6 La 3.02-3.08
12 Se 0.8326 0.1674 0.0000  6 La 3.08-3.10

No. 13
VASP calculation (PBE) on a relaxed La4TeSe5 crystal.

uncorrected formation energy	-1.79	eV per atom
final energy	-5.82	eV/atom
SG	Pmmn (59)

a b c (Å): 9.4291 10.4488 7.3288
angles (deg): 90.00 90.00 90.00
Closest atoms and distances in Å follow each position.
Fractional positions:
1 La 0.0018 0.2500 0.0356  3 Se 2.89-2.95, 1 Te 3.09
2 La 0.2500 0.0131 0.4915  5 Se 2.97-3.06, 1 Te 3.13
3 La 0.2500 0.4869 0.4915  5 Se 2.97-3.06, 1 Te 3.13
4 La 0.4982 0.2500 0.0356  3 Se 2.89-2.95, 1 Te 3.09
5 La 0.5018 0.7500 0.9644  3 Se 2.89-2.95, 1 Te 3.09
6 La 0.7500 0.5131 0.5085  5 Se 2.97-3.06, 1 Te 3.13
7 La 0.7500 0.9869 0.5085  5 Se 2.97-3.06, 1 Te 3.13
8 La 0.9982 0.7500 0.9644  3 Se 2.89-2.95, 1 Te 3.09
9 Te 0.2500 0.7500 0.6951  4 La 3.09-3.13
10 Te 0.7500 0.2500 0.3049  4 La 3.09-3.13
11 Se 0.0006 0.0499 0.7525  3 La 2.95-3.06
12 Se 0.0006 0.4501 0.7525  3 La 2.95-3.06
13 Se 0.2500 0.2500 0.2676  4 La 2.89-2.97
14 Se 0.4994 0.0499 0.7525  3 La 2.95-3.06
15 Se 0.4994 0.4501 0.7525  3 La 2.95-3.06
16 Se 0.5006 0.5499 0.2475  3 La 2.95-3.06
17 Se 0.5006 0.9501 0.2475  3 La 2.95-3.06
18 Se 0.7500 0.7500 0.7324  4 La 2.89-2.97
19 Se 0.9994 0.5499 0.2475  3 La 2.95-3.06
20 Se 0.9994 0.9501 0.2475  3 La 2.95-3.06

No. 14
VASP calculation (PBE) on a relaxed LaTeSe2 crystal.

uncorrected formation energy	-0.98	eV per atom
final energy	-4.74	eV/atom
SG	P4/mmm (123)

a b c (Å): 4.0303 4.0303 7.0652
angles (deg): 90.00 90.00 90.00
Closest atoms and distances in Å follow each position.
Fractional positions:
1 La 0.0000 0.0000 0.0000  8 Se 3.11
2 Te 0.0000 0.0000 0.5000  2 La 3.53, 8 Se 3.65
3 Se 0.5000 0.5000 0.1772  1 Se 2.50
4 Se 0.5000 0.5000 0.8228  1 Se 2.50

No. 15
VASP calculation (PBE) on a relaxed LaTe2Se crystal.

uncorrected formation energy	-0.82	eV per atom
final energy	-4.49	eV/atom
SG	Cmmm (65)

a b c (Å): 5.0145 5.0145 4.6724
angles (deg): 90.00 90.00 102.18
Closest atoms and distances in Å follow each position.
Fractional positions:
1 La 0.0000 0.0000 0.0000  2 Se 3.15, 8 Te 3.43
2 Te 0.0000 0.5000 0.5000  2 Te 3.15, 4 La 3.43, 4 Se 3.43
3 Te 0.5000 0.0000 0.5000  2 Te 3.15, 4 La 3.43, 4 Se 3.43
4 Se 0.5000 0.5000 0.0000  2 La 3.15, 8 Te 3.43

No. 16
VASP calculation (PBE) on a relaxed La2TeSe crystal.

uncorrected formation energy	-1.75	eV per atom
final energy	-5.87	eV/atom
SG	P4/mmm (123)
relative energy among the computed polymorphs	56.0	meV/atom

a b c (Å): 4.4576 4.4576 6.3116
angles (deg): 90.00 90.00 90.00
Closest atoms and distances in Å follow each position.
Fractional positions:
1 La 0.0000 0.0000 0.0000  4 Se 3.15, 2 Te 3.16
2 La 0.5000 0.5000 0.5000  4 Te 3.15, 2 Se 3.16
3 Te 0.0000 0.0000 0.5000  6 La 3.15-3.16
4 Se 0.5000 0.5000 0.0000  6 La 3.15-3.16

No. 17
VASP calculation (PBE) on a relaxed LaTeSe2 crystal.

uncorrected formation energy	-1.20	eV per atom
final energy	-4.96	eV/atom
SG	Cm (8)

a b c (Å): 8.1656 8.1656 4.1482
angles (deg): 104.48 104.48 28.93
Closest atoms and distances in Å follow each position.
Fractional positions:
1 La 0.0000 0.0000 0.0000  6 Se 3.04-3.22, 2 Te 3.39
2 Te 0.1755 0.1755 0.6728  4 Se 2.91-2.92
3 Se 0.4410 0.4410 0.4417  4 La 3.04-3.05
4 Se 0.6633 0.6633 0.1609  4 Te 2.91-2.92, 2 La 3.22

No. 18
VASP calculation (PBE) on a relaxed La3Te2Se crystal.

uncorrected formation energy	-1.71	eV per atom
final energy	-5.81	eV/atom
SG	Immm (71)

a b c (Å): 7.8158 7.8158 7.8158
angles (deg): 146.81 131.94 59.66
Closest atoms and distances in Å follow each position.
Fractional positions:
1 La 0.0000 0.0000 0.0000  2 Se 3.18, 4 Te 3.24
2 La 0.3482 0.3482 0.0000  2 Se 3.04, 4 Te 3.20-3.26
3 La 0.6518 0.6518 0.0000  2 Se 3.04, 4 Te 3.20-3.26
4 Te 0.1727 0.6727 0.5000  6 La 3.20-3.26
5 Te 0.8273 0.3273 0.5000  6 La 3.20-3.26
6 Se 0.5000 0.0000 0.5000  6 La 3.04-3.18

No. 19
VASP calculation (PBE) on a relaxed LaTeSe2 crystal.

uncorrected formation energy	-1.00	eV per atom
final energy	-4.76	eV/atom
SG	P2/m (10)

a b c (Å): 4.1335 3.8505 7.1337
angles (deg): 90.00 102.57 90.00
Closest atoms and distances in Å follow each position.
Fractional positions:
1 La 0.0000 0.0000 0.0000  8 Se 3.09-3.26
2 Te 0.0000 0.0000 0.5000  4 Se 3.03
3 Se 0.3912 0.5000 0.7920  1 Se 2.91, 2 Te 3.03, 2 La 3.09
4 Se 0.6088 0.5000 0.2080  1 Se 2.91, 2 Te 3.03, 2 La 3.09

No. 20
VASP calculation (PBE) on a relaxed LaTeSe2 crystal.

uncorrected formation energy	-0.97	eV per atom
final energy	-4.73	eV/atom
SG	P4mm (99)

a b c (Å): 4.3482 4.3482 6.1019
angles (deg): 90.00 90.00 90.00
Closest atoms and distances in Å follow each position.
Fractional positions:
1 La 0.0000 0.0000 0.0000  6 Se 2.94-3.16
2 Te 0.5000 0.5000 0.5640  6 Se 2.97-3.13
3 Se 0.0000 0.0000 0.5176  2 La 2.94-3.16, 4 Te 3.09
4 Se 0.5000 0.5000 0.0776  2 Te 2.97-3.13, 4 La 3.11